No. 1
PuGa4Ru | PBE | optimized geometry

Results
uncorrected energy	-76.272	eV for the cell shown
D(E_F)	18.84	states/eV/cell
DFT formation energy	-0.40	eV per atom
space group	No. 51

a = 4.1129 Å, b = 6.8796 Å, c = 7.7091 Å
α = 90.00°, β = 90.00°, γ = 90.00°
Last column: nearest neighbours and their distance in Å.
Fractional positions:
1 Ga 0.0000 0.0000 0.0000  2 Ru 2.40
2 Ga 0.5000 0.6801 0.0621  2 Ru 2.63, 3 Ga 2.66-2.94
3 Pu 0.0000 0.6270 0.7500  1 Ru 2.88, 8 Ga 3.02-3.21
4 Ga 0.5000 0.6801 0.4379  2 Ru 2.63, 3 Ga 2.66-2.94
5 Pu 0.0000 0.3730 0.2500  1 Ru 2.88, 8 Ga 3.02-3.21
6 Ga 0.5000 0.0518 0.2500  2 Ru 2.73, 8 Ga 2.84-3.03, 2 Pu 3.02
7 Ru 0.0000 0.7917 0.2500  6 Ga 2.40-2.63
8 Ga 0.0000 0.0000 0.5000  2 Ru 2.40
9 Ru 0.0000 0.2083 0.7500  6 Ga 2.40-2.63
10 Ga 0.5000 0.9482 0.7500  2 Ru 2.73, 8 Ga 2.84-3.03, 2 Pu 3.02
11 Ga 0.5000 0.3199 0.5621  2 Ru 2.63, 3 Ga 2.66-2.94
12 Ga 0.5000 0.3199 0.9379  2 Ru 2.63, 3 Ga 2.66-2.94

***

No. 2
Pu3Ga3Ru2 | PBE | optimized geometry

Results
uncorrected energy	-70.268	eV for the cell shown
D(E_F)	9.69	states/eV/cell
excess energy over the best structure of this formula in the dataset	340	meV per atom
DFT formation energy	0.04	eV per atom
space group	No. 189

a = 3.0174 Å, b = 7.1974 Å, c = 7.1974 Å
α = 120.00°, β = 90.00°, γ = 90.00°
Last column: nearest neighbours and their distance in Å.
Fractional positions:
1 Ru 0.0000 0.3333 0.6667  6 Ga 2.61
2 Pu 0.0000 0.8103 0.8103  2 Pu 2.37
3 Ru 0.0000 0.6667 0.3333  6 Ga 2.61
4 Ga 0.5000 0.0000 0.5639  4 Ru 2.61
5 Pu 0.0000 0.1897 0.0000  2 Pu 2.37
6 Ga 0.5000 0.5639 0.0000  4 Ru 2.61
7 Pu 0.0000 0.0000 0.1897  2 Pu 2.37
8 Ga 0.5000 0.4361 0.4361  4 Ru 2.61

***

Q: Which formula does entry 1 have?
A: PuGa4Ru

***

Q: Among the records above, which one has the highest DFT formation energy?
A: Pu3Ga3Ru2

***

Q: Which of these has the highest D(E_F)?
A: PuGa4Ru

***

Please write out number 1 again, unchanged.
PuGa4Ru | PBE | optimized geometry

Results
uncorrected energy	-76.272	eV for the cell shown
D(E_F)	18.84	states/eV/cell
DFT formation energy	-0.40	eV per atom
space group	No. 51

a = 4.1129 Å, b = 6.8796 Å, c = 7.7091 Å
α = 90.00°, β = 90.00°, γ = 90.00°
Last column: nearest neighbours and their distance in Å.
Fractional positions:
1 Ga 0.0000 0.0000 0.0000  2 Ru 2.40
2 Ga 0.5000 0.6801 0.0621  2 Ru 2.63, 3 Ga 2.66-2.94
3 Pu 0.0000 0.6270 0.7500  1 Ru 2.88, 8 Ga 3.02-3.21
4 Ga 0.5000 0.6801 0.4379  2 Ru 2.63, 3 Ga 2.66-2.94
5 Pu 0.0000 0.3730 0.2500  1 Ru 2.88, 8 Ga 3.02-3.21
6 Ga 0.5000 0.0518 0.2500  2 Ru 2.73, 8 Ga 2.84-3.03, 2 Pu 3.02
7 Ru 0.0000 0.7917 0.2500  6 Ga 2.40-2.63
8 Ga 0.0000 0.0000 0.5000  2 Ru 2.40
9 Ru 0.0000 0.2083 0.7500  6 Ga 2.40-2.63
10 Ga 0.5000 0.9482 0.7500  2 Ru 2.73, 8 Ga 2.84-3.03, 2 Pu 3.02
11 Ga 0.5000 0.3199 0.5621  2 Ru 2.63, 3 Ga 2.66-2.94
12 Ga 0.5000 0.3199 0.9379  2 Ru 2.63, 3 Ga 2.66-2.94